(1)
Material: Gd2PaH
Method: DFT, PBE
State: optimized geometry

```
Gd2PaH
1.0
-0.8445 3.3484 0.4193
-3.1489 1.1318 -0.9508
-4.2646 -0.2092 7.5111
Gd H Pa
2 1 1
Direct
0.2262 0.2262 0.3215
0.7738 0.7738 0.6785
0.5000 0.5000 0.5000
0.0000 0.0000 0.0000
```

Computed properties:
- E above lowest polymorph (eV/atom) = 0.000
- space-group type = R-3m, No. 166

---

(2)
Material: Gd2PaH
Method: DFT, PBE
State: optimized geometry

```
Gd2PaH
1.0
-1.7621 1.6126 -2.1691
1.8318 -1.1915 -2.3739
-5.1554 -6.5574 -0.6868
Gd H Pa
2 1 1
Direct
0.0000 0.0000 0.8041
0.0000 0.0000 0.1959
0.5000 0.5000 0.0000
0.5000 0.5000 0.5000
```

Computed properties:
- E above lowest polymorph (eV/atom) = 0.225
- space-group type = P4/mmm, No. 123

---

(3)
Material: Gd3HPb
Method: DFT, PBE
State: optimized geometry

```
Gd3HPb
1.0
4.9085 0.0000 0.0000
0.0000 4.9085 0.0000
0.0000 0.0000 4.9085
Pb H Gd
1 1 3
Direct
0.5000 0.5000 0.5000
0.0000 0.0000 0.0000
0.0000 0.5000 0.0000
0.0000 0.0000 0.5000
0.5000 0.0000 0.0000
```

Computed properties:
- electronic total energy (eV/atom) = -10.291
- space-group type = Pm-3m, No. 221

---

(4)
Material: Gd4HPd2
Method: DFT, PBE
State: optimized geometry

```
Gd4HPd2
1.0
4.6110 0.0000 0.0000
0.0000 4.6110 0.0000
2.3055 2.3055 7.5620
H Gd Pd
1 4 2
Direct
0.0000 0.0000 0.0000
0.8145 0.8145 0.3710
0.1855 0.1855 0.6290
0.0000 0.5000 0.0000
0.5000 0.0000 0.0000
0.6325 0.6325 0.7350
0.3675 0.3675 0.2650
```

Computed properties:
- electronic total energy (eV/atom) = -10.535
- space-group type = I4/mmm, No. 139

---

Please write out number 4 again, unchanged.
Material: Gd4HPd2
Method: DFT, PBE
State: optimized geometry

```
Gd4HPd2
1.0
4.6110 0.0000 0.0000
0.0000 4.6110 0.0000
2.3055 2.3055 7.5620
H Gd Pd
1 4 2
Direct
0.0000 0.0000 0.0000
0.8145 0.8145 0.3710
0.1855 0.1855 0.6290
0.0000 0.5000 0.0000
0.5000 0.0000 0.0000
0.6325 0.6325 0.7350
0.3675 0.3675 0.2650
```

Computed properties:
- electronic total energy (eV/atom) = -10.535
- space-group type = I4/mmm, No. 139